(1)
A plane-wave DFT calculation with PBE was carried out for a relaxed structure of TmThMn4.

Geometry as CIF:
```
data_TmThMn4
_cell_length_a 7.346
_cell_length_b 7.346
_cell_length_c 7.346
_cell_angle_alpha 90.00
_cell_angle_beta 90.00
_cell_angle_gamma 90.00
_symmetry_space_group_name_H-M 'F -4 3 m'
_symmetry_Int_Tables_number 216
_symmetry_space_group_name_Hall 'F -4 2 3'
loop_
_atom_site_label
_atom_site_fract_x
_atom_site_fract_y
_atom_site_fract_z
_atom_site_occupancy
Tm1 0.000 0.000 0.000 1
Th1 0.250 0.250 0.250 1
Mn1 0.126 0.126 0.626 1
```

Summary:
DFT formation energy	0.058	eV per atom



(2)
A plane-wave DFT calculation with PBE was carried out for a relaxed structure of Li2ZrCr.

Geometry as CIF:
```
data_Li2ZrCr
_cell_length_a 3.276
_cell_length_b 4.768
_cell_length_c 8.740
_cell_angle_alpha 90.00
_cell_angle_beta 90.00
_cell_angle_gamma 90.00
_symmetry_space_group_name_H-M 'I m m 2'
_symmetry_Int_Tables_number 44
loop_
_symmetry_equiv_pos_as_xyz
'x,y,z'
'-x,-y,z'
'-x,y,z'
'x,-y,z'
'x+1/2,y+1/2,z+1/2'
'-x+1/2,-y+1/2,z+1/2'
'-x+1/2,y+1/2,z+1/2'
'x+1/2,-y+1/2,z+1/2'
loop_
_atom_site_label
_atom_site_fract_x
_atom_site_fract_y
_atom_site_fract_z
_atom_site_occupancy
Li1 0.000 0.000 0.000 1
Li2 0.000 0.500 0.283 1
Zr1 0.000 0.500 0.776 1
Cr1 0.000 0.000 0.535 1
```

Summary:
ΔE to the lowest computed polymorph	0.62	eV/f.u.
DFT formation energy	0.467	eV per atom



(3)
A plane-wave DFT calculation with PBE was carried out for a relaxed structure of KPaSnN3.

Geometry as CIF:
```
data_KPaSnN3
_cell_length_a 7.346
_cell_length_b 3.516
_cell_length_c 10.868
_cell_angle_alpha 90.00
_cell_angle_beta 104.12
_cell_angle_gamma 90.00
_symmetry_space_group_name_H-M 'P 1 21/m 1'
_symmetry_Int_Tables_number 11
loop_
_symmetry_equiv_pos_as_xyz
'x,y,z'
'-x,-y,-z'
'-x,y+1/2,-z'
'x,-y+1/2,z'
loop_
_atom_site_label
_atom_site_fract_x
_atom_site_fract_y
_atom_site_fract_z
_atom_site_occupancy
K1 0.065 0.250 0.306 1
Pa1 0.450 0.250 0.631 1
Sn1 0.398 0.750 0.876 1
N1 0.252 0.250 0.781 1
N2 0.345 0.750 0.502 1
N3 0.418 0.250 0.249 1
```

Summary:
formation energy from raw total energies	-3.7	eV/f.u.



D(E_F) readings, ordered: 23.1; 6.7; 3.9 states/eV per cell
Total moment readings, ordered: 29.35; 5.62; 0.00 Bohr magnetons per cell